Here is a geometry-optimized CaNb2Cr structure from Alexandria via LeMat-Bulk. Energies are from PBE.

Calculated values
Formation energy from the elements: 497.9 kJ/mol of formula units
Excess energy over the best structure of this formula in the dataset: 513 meV per atom
Total magnetization: 2.514 μB per formula unit
Fermi-level density of states: 17.3 states/eV per cell

Unit cell a=4.855 b=4.855 c=18.629 alpha=90.00 beta=90.00 gamma=90.00
Space group I4_1/amd (No. 141, origin choice 2)
Unique sites:
Ca (0.000, 0.250, 0.375) [4 per cell]
Nb (0.000, 0.000, 0.000) [8 per cell]
Cr (0.000, 0.250, 0.875) [4 per cell]